Entry 1:
Density functional theory data (PBE) for an optimized crystal structure of AcPt2Au2N.

Results
- V (Å³/cell) = 272.90
- magnetization (μB per atom) = 0.00
- raw formation energy (meV per atom) = -36
- E (eV for the cell shown) = -62.6

Cell and atoms, written as CIF:
```
data_AcPt2Au2N
_space_group_name_H-M_alt 'I 4/m m m'
_space_group_IT_number 139
_space_group_name_Hall '-I 4 2'
_cell_length_a 4.998
_cell_length_b 4.998
_cell_length_c 10.926
_cell_angle_alpha 90.00
_cell_angle_beta 90.00
_cell_angle_gamma 90.00
loop_
_atom_site_label
_atom_site_type_symbol
_atom_site_fract_x
_atom_site_fract_y
_atom_site_fract_z
_atom_site_occupancy
Ac1 Ac 0.000 0.000 0.000 1
Pt1 Pt 0.000 0.000 0.332 1
Au1 Au 0.000 0.500 0.250 1
N1 N 0.000 0.000 0.500 1
```

***

Entry 2:
Density functional theory data (PBE) for an optimized crystal structure of Ac6PtAu2N.

Results
- V (Å³/cell) = 640.68
- magnetization (μB per atom) = 0.00
- raw formation energy (meV per atom) = -776
- E (eV for the cell shown) = -106.7

Cell and atoms, written as CIF:
```
data_Ac6PtAu2N
_space_group_name_H-M_alt 'P 1 21/c 1'
_space_group_IT_number 14
_cell_length_a 7.222
_cell_length_b 7.983
_cell_length_c 12.998
_cell_angle_alpha 90.00
_cell_angle_beta 121.25
_cell_angle_gamma 90.00
loop_
_space_group_symop_operation_xyz
'x,y,z'
'-x,-y,-z'
'-x,y+1/2,-z+1/2'
'x,-y+1/2,z+1/2'
loop_
_atom_site_label
_atom_site_type_symbol
_atom_site_fract_x
_atom_site_fract_y
_atom_site_fract_z
_atom_site_occupancy
Ac1 Ac 0.105 0.209 0.441 1
Ac2 Ac 0.244 0.672 0.434 1
Ac3 Ac 0.373 0.035 0.236 1
Pt1 Pt 0.500 0.000 0.500 1
Au1 Au 0.177 0.101 0.732 1
N1 N 0.000 0.000 0.000 1
```